ReTeS | PBE-GGA | optimized geometry

Computed properties:
* E_tot: -82.24 eV/cell
* crystal system: triclinic
* SG: P-1, No. 2
* offset from the most stable computed form: 39 meV/atom
* mass density: 8.26 g/cm3

Cell lengths 6.688, 6.877, 7.149 Å; angles 76.69, 78.18, 60.97 degrees
Positions (direct):
1 Re 0.252 0.812 0.508
2 Re 0.690 0.797 0.503
3 Re 0.748 0.188 0.492
4 Re 0.310 0.203 0.497
5 Te 0.115 0.630 0.284
6 Te 0.626 0.116 0.189
7 Te 0.885 0.370 0.716
8 Te 0.374 0.884 0.811
9 S 0.107 0.143 0.290
10 S 0.392 0.401 0.679
11 S 0.608 0.599 0.321
12 S 0.893 0.857 0.710

---

Tl2Re2S5 | PBE-GGA | optimized geometry

Computed properties:
* E_tot: -105.17 eV/cell
* crystal system: monoclinic
* SG: C2/c, No. 15
* mass density: 7.70 g/cm3

Cell lengths 6.276, 6.276, 11.481 Å; angles 107.91, 107.91, 78.00 degrees
Positions (direct):
1 Tl 0.130 0.448 0.178
2 Tl 0.870 0.552 0.822
3 Tl 0.448 0.130 0.678
4 Tl 0.552 0.870 0.322
5 S 0.099 0.882 0.398
6 S 0.882 0.099 0.898
7 S 0.272 0.391 0.462
8 S 0.901 0.118 0.602
9 S 0.728 0.609 0.538
10 S 0.609 0.728 0.038
11 S 0.391 0.272 0.962
12 S 0.276 0.724 0.750
13 S 0.724 0.276 0.250
14 S 0.118 0.901 0.102
15 Re 0.054 0.722 0.549
16 Re 0.278 0.946 0.951
17 Re 0.722 0.054 0.049
18 Re 0.946 0.278 0.451

---

Tl2Re3S6 | PBE-GGA | optimized geometry

Computed properties:
* E_tot: -289.53 eV/cell
* crystal system: monoclinic
* SG: C2/c, No. 15
* mass density: 7.86 g/cm3

Cell lengths 9.733, 9.733, 11.927 Å; angles 90.52, 90.52, 60.18 degrees
Positions (direct):
1 S 0.612 0.054 0.784
2 S 0.939 0.993 0.928
3 S 0.993 0.939 0.428
4 S 0.447 0.725 0.976
5 S 0.729 0.564 0.194
6 S 0.553 0.275 0.024
7 S 0.286 0.200 0.564
8 S 0.061 0.007 0.072
9 S 0.388 0.946 0.216
10 S 0.930 0.742 0.674
11 S 0.258 0.070 0.826
12 S 0.742 0.930 0.174
13 S 0.714 0.800 0.436
14 S 0.200 0.286 0.064
15 S 0.070 0.258 0.326
16 S 0.054 0.612 0.284
17 S 0.436 0.271 0.306
18 S 0.946 0.388 0.716
19 S 0.800 0.714 0.936
20 S 0.007 0.061 0.572
21 S 0.275 0.553 0.524
22 S 0.271 0.436 0.806
23 S 0.564 0.729 0.694
24 S 0.725 0.447 0.476
25 Tl 0.862 0.358 0.985
26 Tl 0.203 0.797 0.750
27 Tl 0.138 0.642 0.015
28 Tl 0.797 0.203 0.250
29 Tl 0.642 0.138 0.515
30 Tl 0.358 0.862 0.485
31 Tl 0.586 0.414 0.750
32 Tl 0.414 0.586 0.250
33 Re 0.468 0.119 0.131
34 Re 0.814 0.602 0.584
35 Re 0.186 0.398 0.416
36 Re 0.532 0.881 0.869
37 Re 0.398 0.186 0.916
38 Re 0.691 0.993 0.978
39 Re 0.309 0.007 0.022
40 Re 0.993 0.691 0.478
41 Re 0.602 0.814 0.084
42 Re 0.881 0.532 0.369
43 Re 0.119 0.468 0.631
44 Re 0.007 0.309 0.522

---

Re3Sb4 | PBE-GGA | optimized geometry

Computed properties:
* E_tot: -51.73 eV/cell
* crystal system: monoclinic
* SG: C2/m, No. 12
* mass density: 12.15 g/cm3

Cell lengths 7.283, 7.283, 6.701 Å; angles 112.81, 112.81, 25.99 degrees
Positions (direct):
1 Sb 0.910 0.910 0.570
2 Sb 0.090 0.090 0.430
3 Sb 0.354 0.354 0.030
4 Sb 0.646 0.646 0.970
5 Re 0.260 0.260 0.327
6 Re 0.740 0.740 0.673
7 Re 0.000 0.000 0.000

---

ReSb | PBE-GGA | optimized geometry

Computed properties:
* E_tot: -62.70 eV/cell
* crystal system: orthorhombic
* SG: Pmma, No. 51
* offset from the most stable computed form: 0 meV/atom
* mass density: 11.82 g/cm3

Cell lengths 5.298, 3.935, 8.301 Å; angles 90.00, 90.00, 90.00 degrees
Positions (direct):
1 Sb 0.750 0.500 0.096
2 Sb 0.250 0.000 0.289
3 Sb 0.250 0.500 0.904
4 Sb 0.750 0.000 0.711
5 Re 0.000 0.500 0.500
6 Re 0.750 0.000 0.331
7 Re 0.500 0.500 0.500
8 Re 0.250 0.000 0.669

---

ReSb2 | PBE-GGA | optimized geometry

Computed properties:
* E_tot: -55.09 eV/cell
* crystal system: trigonal
* SG: P-3m1, No. 164
* mass density: 9.82 g/cm3

Cell lengths 3.871, 3.871, 16.793 Å; angles 90.00, 90.00, 120.00 degrees
Positions (direct):
1 Re 0.333 0.667 0.197
2 Re 0.667 0.333 0.803
3 Re 0.000 0.000 0.000
4 Sb 0.000 0.000 0.287
5 Sb 0.667 0.333 0.096
6 Sb 0.000 0.000 0.713
7 Sb 0.333 0.667 0.904
8 Sb 0.667 0.333 0.447
9 Sb 0.333 0.667 0.553

---

SmReSb | PBE-GGA | optimized geometry

Computed properties:
* E_tot: -19.75 eV/cell
* crystal system: cubic
* SG: F-43m, No. 216
* offset from the most stable computed form: 0 meV/atom
* mass density: 10.04 g/cm3

Cell lengths 4.751, 4.751, 4.751 Å; angles 60.00, 60.00, 60.00 degrees
Positions (direct):
1 Sm 0.750 0.750 0.750
2 Re 0.250 0.250 0.250
3 Sb 0.000 0.000 0.000

---

SmReSb | PBE-GGA | optimized geometry

Computed properties:
* E_tot: -17.92 eV/cell
* crystal system: cubic
* SG: F-43m, No. 216
* offset from the most stable computed form: 608 meV/atom
* mass density: 9.24 g/cm3

Cell lengths 4.884, 4.884, 4.884 Å; angles 60.00, 60.00, 60.00 degrees
Positions (direct):
1 Sb 0.750 0.750 0.750
2 Sm 0.000 0.000 0.000
3 Re 0.250 0.250 0.250

---

TbRe4Sb2 | PBE-GGA | optimized geometry

Computed properties:
* E_tot: -53.85 eV/cell
* crystal system: trigonal
* SG: P-3m1, No. 164
* mass density: 10.94 g/cm3

Cell lengths 4.415, 4.415, 10.315 Å; angles 90.00, 90.00, 120.00 degrees
Positions (direct):
1 Re 0.667 0.333 0.044
2 Re 0.667 0.333 0.542
3 Re 0.333 0.667 0.458
4 Re 0.333 0.667 0.956
5 Sb 0.333 0.667 0.205
6 Sb 0.667 0.333 0.795
7 Tb 0.000 0.000 0.500

---

ThReSb | PBE-GGA | optimized geometry

Computed properties:
* E_tot: -23.95 eV/cell
* crystal system: cubic
* SG: F-43m, No. 216
* offset from the most stable computed form: 0 meV/atom
* mass density: 11.73 g/cm3

Cell lengths 4.764, 4.764, 4.764 Å; angles 60.00, 60.00, 60.00 degrees
Positions (direct):
1 Re 0.000 0.000 0.000
2 Sb 0.750 0.750 0.750
3 Th 0.250 0.250 0.250

---

UReSb | PBE-GGA | optimized geometry

Computed properties:
* E_tot: -24.79 eV/cell
* crystal system: cubic
* SG: F-43m, No. 216
* offset from the most stable computed form: 745 meV/atom
* mass density: 12.15 g/cm3

Cell lengths 4.726, 4.726, 4.726 Å; angles 60.00, 60.00, 60.00 degrees
Positions (direct):
1 Re 0.250 0.250 0.250
2 Sb 0.750 0.750 0.750
3 U 0.000 0.000 0.000

---

UReSb | PBE-GGA | optimized geometry

Computed properties:
* E_tot: -27.03 eV/cell
* crystal system: cubic
* SG: F-43m, No. 216
* offset from the most stable computed form: 0 meV/atom
* mass density: 13.01 g/cm3

Cell lengths 4.619, 4.619, 4.619 Å; angles 60.00, 60.00, 60.00 degrees
Positions (direct):
1 U 0.250 0.250 0.250
2 Re 0.000 0.000 0.000
3 Sb 0.750 0.750 0.750

---

ZnReSb2 | PBE-GGA | optimized geometry

Computed properties:
* E_tot: -38.44 eV/cell
* crystal system: tetragonal
* SG: I-42d, No. 122
* mass density: 7.23 g/cm3

Cell lengths 7.400, 7.400, 7.400 Å; angles 130.72, 130.72, 72.26 degrees
Positions (direct):
1 Zn 0.500 0.500 0.000
2 Zn 0.250 0.750 0.500
3 Sb 0.106 0.625 0.981
4 Sb 0.875 0.894 0.519
5 Sb 0.644 0.125 0.019
6 Sb 0.375 0.356 0.481
7 Re 0.000 0.000 0.000
8 Re 0.750 0.250 0.500

---

Sc5Re24 | PBE-GGA | optimized geometry

Computed properties:
* E_tot: -336.36 eV/cell
* crystal system: cubic
* formation energy: -0.23 eV/atom
* SG: I-43m, No. 217
* mass density: 17.01 g/cm3

Cell lengths 8.412, 8.412, 8.412 Å; angles 109.47, 109.47, 109.47 degrees
Positions (direct):
1 Re 0.808 0.185 0.808
2 Re 0.192 0.377 0.000
3 Re 0.603 0.280 0.603
4 Re 0.192 0.000 0.377
5 Re 0.000 0.397 0.677
6 Re 0.377 0.000 0.192
7 Re 0.397 0.000 0.677
8 Re 0.323 0.720 0.323
9 Re 0.000 0.192 0.377
10 Re 0.677 0.000 0.397
11 Re 0.000 0.377 0.192
12 Re 0.185 0.808 0.808
13 Re 0.720 0.323 0.323
14 Re 0.323 0.323 0.720
15 Re 0.603 0.603 0.280
16 Re 0.000 0.677 0.397
17 Re 0.623 0.623 0.815
18 Re 0.280 0.603 0.603
19 Re 0.623 0.815 0.623
20 Re 0.397 0.677 0.000
21 Re 0.815 0.623 0.623
22 Re 0.377 0.192 0.000
23 Re 0.677 0.397 0.000
24 Re 0.808 0.808 0.185
25 Sc 0.367 0.367 0.367
26 Sc 0.000 0.633 0.000
27 Sc 0.000 0.000 0.000
28 Sc 0.633 0.000 0.000
29 Sc 0.000 0.000 0.633

---

Sc2Re | PBE-GGA | optimized geometry

Computed properties:
* E_tot: -45.81 eV/cell
* crystal system: cubic
* formation energy: 0.72 eV/atom
* SG: Fd-3m, No. 227
* mass density: 8.44 g/cm3

Cell lengths 5.356, 5.356, 5.356 Å; angles 60.00, 60.00, 60.00 degrees
Positions (direct):
1 Sc 0.125 0.625 0.625
2 Sc 0.625 0.125 0.625
3 Sc 0.625 0.625 0.125
4 Sc 0.625 0.625 0.625
5 Re 0.000 0.000 0.000
6 Re 0.250 0.250 0.250

---

Sc2Re | PBE-GGA | optimized geometry

Computed properties:
* E_tot: -39.63 eV/cell
* crystal system: cubic
* formation energy: 1.75 eV/atom
* SG: Fd-3m, No. 227
* mass density: 2.77 g/cm3

Cell lengths 7.765, 7.765, 7.765 Å; angles 60.00, 60.00, 60.00 degrees
Positions (direct):
1 Sc 0.375 0.375 0.375
2 Sc 0.375 0.375 0.875
3 Sc 0.375 0.875 0.375
4 Sc 0.875 0.375 0.375
5 Re 0.500 0.500 0.500
6 Re 0.250 0.250 0.250

---

ScRe5 | PBE-GGA | optimized geometry

Computed properties:
* E_tot: -67.36 eV/cell
* crystal system: hexagonal
* formation energy: 0.18 eV/atom
* SG: P-62m, No. 189
* mass density: 17.43 g/cm3

Cell lengths 4.790, 4.790, 4.681 Å; angles 90.00, 90.00, 120.00 degrees
Positions (direct):
1 Re 0.000 0.666 0.500
2 Re 0.334 0.334 0.500
3 Re 0.666 0.000 0.500
4 Re 0.333 0.667 0.000
5 Re 0.667 0.333 0.000
6 Sc 0.000 0.000 0.000

---

ScRe | PBE-GGA | optimized geometry

Computed properties:
* E_tot: -16.41 eV/cell
* crystal system: cubic
* formation energy: 1.17 eV/atom
* SG: Fm-3m, No. 225
* mass density: 9.78 g/cm3

Cell lengths 3.815, 3.815, 3.815 Å; angles 60.00, 60.00, 60.00 degrees
Positions (direct):
1 Re 0.000 0.000 0.000
2 Sc 0.500 0.500 0.500

---

ScRe2Si | PBE-GGA | optimized geometry

Computed properties:
* E_tot: -36.62 eV/cell
* crystal system: cubic
* SG: F-43m, No. 216
* mass density: 12.13 g/cm3

Cell lengths 4.418, 4.418, 4.418 Å; angles 60.00, 60.00, 60.00 degrees
Positions (direct):
1 Re 0.750 0.750 0.750
2 Re 0.000 0.000 0.000
3 Sc 0.250 0.250 0.250
4 Si 0.500 0.500 0.500

---

Sc2ReSi2 | PBE-GGA | optimized geometry

Computed properties:
* E_tot: -79.08 eV/cell
* crystal system: tetragonal
* SG: P4/mbm, No. 127
* mass density: 6.64 g/cm3

Cell lengths 6.547, 6.547, 3.879 Å; angles 90.00, 90.00, 90.00 degrees
Positions (direct):
1 Si 0.370 0.870 0.000
2 Si 0.630 0.130 0.000
3 Si 0.870 0.630 0.000
4 Si 0.130 0.370 0.000
5 Sc 0.176 0.676 0.500
6 Sc 0.676 0.824 0.500
7 Sc 0.324 0.176 0.500
8 Sc 0.824 0.324 0.500
9 Re 0.000 0.000 0.000
10 Re 0.500 0.500 0.000

---

Sc2Re3Si4 | PBE-GGA | optimized geometry

Computed properties:
* E_tot: -309.08 eV/cell
* crystal system: tetragonal
* SG: P4_12_12, No. 92
* mass density: 9.25 g/cm3

Cell lengths 6.628, 6.628, 12.434 Å; angles 90.00, 90.00, 90.00 degrees
Positions (direct):
1 Si 0.778 0.528 0.687
2 Si 0.622 0.306 0.431
3 Si 0.278 0.972 0.063
4 Si 0.306 0.622 0.569
5 Si 0.028 0.722 0.437
6 Si 0.378 0.694 0.931
7 Si 0.878 0.806 0.819
8 Si 0.722 0.028 0.563
9 Si 0.222 0.472 0.187
10 Si 0.694 0.378 0.069
11 Si 0.806 0.878 0.181
12 Si 0.972 0.278 0.937
13 Si 0.472 0.222 0.813
14 Si 0.194 0.122 0.681
15 Si 0.528 0.778 0.313
16 Si 0.122 0.194 0.319
17 Sc 0.657 0.006 0.969
18 Sc 0.843 0.506 0.281
19 Sc 0.006 0.657 0.031
20 Sc 0.343 0.994 0.469
21 Sc 0.494 0.157 0.219
22 Sc 0.506 0.843 0.719
23 Sc 0.157 0.494 0.781
24 Sc 0.994 0.343 0.531
25 Re 0.816 0.019 0.368
26 Re 0.684 0.519 0.882
27 Re 0.831 0.169 0.750
28 Re 0.169 0.831 0.250
29 Re 0.331 0.331 0.000
30 Re 0.669 0.669 0.500
31 Re 0.316 0.481 0.382
32 Re 0.519 0.684 0.118
33 Re 0.184 0.981 0.868
34 Re 0.481 0.316 0.618
35 Re 0.981 0.184 0.132
36 Re 0.019 0.816 0.632

---

| no. | spin magnetization (μB/f.u.) |
| --- | --- |
| 1 | 0.0 |
| 2 | 0.0 |
| 3 | 0.0 |
| 4 | 0.0 |
| 5 | 0.0 |
| 6 | 1.3 |
| 7 | 1.4 |
| 8 | 1.2 |
| 9 | 0.0 |
| 10 | 0.0 |
| 11 | 0.1 |
| 12 | 1.9 |
| 13 | 0.0 |
| 14 | 0.0 |
| 15 | 0.0 |
| 16 | 1.0 |
| 17 | 0.0 |
| 18 | 0.0 |
| 19 | 0.0 |
| 20 | 0.0 |
| 21 | 0.0 |